{"formula": "FeGeF2", "functional": "GGA+U", "state": "relaxed", "energy_ev_per_atom": -4.533, "spacegroup": "No. 166", "relative_energy_ev_per_fu": 0.958, "lattice_angstrom": [[1.445, 0.834, 7.887], [-1.445, 0.834, 7.887], [0.000, -1.668, 7.887]], "species": ["Fe", "Ge", "F", "F"], "fractional_positions": [[0.000, 0.000, 0.000], [0.500, 0.500, 0.500], [0.079, 0.079, 0.079], [0.921, 0.921, 0.921]]}